Nd2DySi | PBE-GGA | relaxed

Relative energy among the computed polymorphs ... 0.317 eV/atom
Raw formation energy ... 0.073 eV per atom

Cell and atoms, written as extended XYZ:
```
4
Lattice="1.856 1.072 10.924 -1.856 1.072 10.924 0.000 -2.143 10.924" Properties=species:S:1:pos:R:3 pbc="T T T"
Nd 0.000 0.000 3.502
Nd 0.000 0.000 29.272
Dy 0.000 0.000 0.000
Si 0.000 0.000 16.387
```

Li5ErAg8 | PBE-GGA | relaxed

Formation energy from the elements ... -140 kJ/mol of formula units

Cell and atoms, written as extended XYZ:
```
14
Lattice="-4.000 4.000 4.063 4.000 -4.000 4.063 4.000 4.000 -4.063" Properties=species:S:1:pos:R:3 pbc="T T T"
Li 0.000 0.000 0.000
Li 1.756 -1.057 3.397
Li 2.942 2.244 0.666
Li 2.244 5.057 -0.666
Li 1.057 1.756 4.728
Er 0.000 4.000 2.031
Ag 2.688 -0.603 0.743
Ag 3.198 2.803 -1.985
Ag 5.312 0.603 0.743
Ag 4.603 -1.312 3.320
Ag 0.802 1.197 2.077
Ag 3.397 1.312 3.320
Ag 1.197 -0.802 6.048
Ag 2.803 4.802 1.985
```

Number 1: calculated total energy -19.27 eV per formula unit. Number 2: calculated total energy -38.39 eV per formula unit.